Compound: CuAgPb
Source: Alexandria
Functional: PBEsol
Structure: relaxed

a b c (Å): 5.8547 5.8547 5.8547
angles (deg): 147.89 147.89 46.04
Element x y z (fractional)
Cu: 0.0000 0.0000 0.0000
Ag: 0.6237 0.6237 0.0000
Pb: 0.3287 0.3287 0.0000

Output
Magnetization   0.0 μB per formula unit
ΔH_f (0 K)   21.88 kJ per mole of atoms